Record 1
Here is a PBEsol-optimized structure of LiAg5 from Alexandria via LeMat-Bulk. Energies are from meta-GGA SCAN.

Distance to the lowest polymorph of the same formula   0.000 eV per atom
Total magnetic moment   0.0000 μB per atom
ΔE_f   -0.08 eV per atom
Space group   P-62m, No. 189
Calculated total energy   -0.978 hartree per atom

Lattice parameters (Å, degrees): 4.6544 4.9248 4.9248 120.00 90.00 90.00
With the nearest neighbours (Å) after each atom.
Sites, in units of the cell vectors:
1 Ag 0.0000 0.3325 0.3325  10 Ag 2.84-2.85, 2 Li 2.85
2 Ag 0.0000 0.6675 0.0000  10 Ag 2.84-2.85, 2 Li 2.85
3 Ag 0.0000 0.0000 0.6675  10 Ag 2.84-2.85, 2 Li 2.85
4 Ag 0.5000 0.3333 0.6667  3 Li 2.84, 9 Ag 2.84-2.85
5 Ag 0.5000 0.6667 0.3333  3 Li 2.84, 9 Ag 2.84-2.85
6 Li 0.5000 0.0000 0.0000  12 Ag 2.84-2.85

---

Record 2
Here is a PBEsol-optimized structure of CaRuW2 from Alexandria via LeMat-Bulk. Energies are from meta-GGA SCAN.

Distance to the lowest polymorph of the same formula   0.173 eV per atom
Total magnetic moment   0.0000 μB per atom
ΔE_f   0.65 eV per atom
Space group   P4/mmm, No. 123
Calculated total energy   -1.665 hartree per atom

Lattice parameters (Å, degrees): 2.8068 2.8068 8.8893 90.00 90.00 90.00
With the nearest neighbours (Å) after each atom.
Sites, in units of the cell vectors:
1 Ca 0.5000 0.5000 0.0000  4 Ca 2.81
2 Ru 0.5000 0.5000 0.5000  8 W 2.69, 4 Ru 2.81
3 W 0.0000 0.0000 0.7035  4 Ru 2.69, 4 W 2.81
4 W 0.0000 0.0000 0.2965  4 Ru 2.69, 4 W 2.81

---

Record 3
Here is a PBEsol-optimized structure of SrLiNi2 from Alexandria via LeMat-Bulk. Energies are from meta-GGA SCAN.

Distance to the lowest polymorph of the same formula   0.000 eV per atom
Total magnetic moment   0.1176 μB per atom
ΔE_f   0.05 eV per atom
Space group   Cm, No. 8
Calculated total energy   -0.522 hartree per atom

Lattice parameters (Å, degrees): 4.0440 4.0484 5.6771 110.77 90.00 119.96
With the nearest neighbours (Å) after each atom.
Sites, in units of the cell vectors:
1 Sr 0.5108 0.0216 0.5305  4 Li 2.98-3.21, 7 Ni 3.10-3.15
2 Ni 0.9794 0.9589 0.9388  3 Ni 2.34, 3 Li 2.49
3 Ni 0.3083 0.6165 0.9252  3 Ni 2.34, 3 Li 2.52
4 Li 0.7015 0.4030 0.1055  6 Ni 2.49-2.52